Material: PmHo2Th
Method: DFT, PBE-GGA
State: relaxed

The structure belongs to space group P4/mmm (No. 123); the cell edges are 3.576, 3.576 and 10.067 Å and the angles 90.00°, 90.00° and 90.00°. The asymmetric unit holds Pm at (0.000, 0.000, 0.000), Ho at (0.500, 0.500, 0.258) and Th at (0.000, 0.000, 0.500).

As for the final energy: -21.3 eV per cell. The value obtained for the polymorph energy (0 for the lowest one) is 8.4 kJ/mol of formula units. Its calculated formation energy is 0.018 eV/atom.